The following is a DFT calculation (SCAN) of a PBEsol-optimized structure of KZrAl2Tl.

Properties
Spin magnetization: 0.0 μB/f.u.
Space group: P4/mmm
Total DFT energy (no corrections): -1.799 Ry per atom

Cell and atoms, written as POSCAR:
```
KZrAl2Tl
1.0
-3.057 -2.836 -3.221
4.265 -1.559 -2.674
0.542 -4.631 3.564
Tl K Zr Al
1 1 1 2
direct
0.500 0.500 0.500
0.000 0.000 0.500
0.000 0.000 0.000
0.000 0.500 0.000
0.500 0.000 0.000
```

***

The following is a DFT calculation (SCAN) of a PBEsol-optimized structure of KAl2W.

Properties
Spin magnetization: 0.0 μB/f.u.
Space group: Pmm2
Total DFT energy (no corrections): -1.675 Ry per atom

Cell and atoms, written as POSCAR:
```
KAl2W
1.0
2.743 0.000 0.000
0.000 3.837 0.000
0.000 0.000 8.318
K Al W
1 2 1
direct
0.000 0.000 0.502
0.000 0.000 0.987
0.500 0.500 0.168
0.500 0.500 0.843
```

***

The following is a DFT calculation (SCAN) of a PBEsol-optimized structure of KAlW2.

Properties
Spin magnetization: 0.0 μB/f.u.
Space group: I4/mmm
Total DFT energy (no corrections): -2.732 Ry per atom

Cell and atoms, written as POSCAR:
```
KAlW2
1.0
-0.185 -3.539 -1.686
0.032 -1.689 3.542
-4.673 2.800 -0.797
K Al W
1 1 2
direct
0.000 0.000 0.000
0.500 0.500 0.000
0.750 0.250 0.500
0.250 0.750 0.500
```

***

The following is a DFT calculation (SCAN) of a PBEsol-optimized structure of KAl2W.

Properties
Spin magnetization: 1.0 μB/f.u.
Space group: F-43m
Total DFT energy (no corrections): -1.617 Ry per atom

Cell and atoms, written as POSCAR:
```
KAl2W
1.0
4.731 0.000 0.000
2.366 4.097 0.000
2.366 1.366 3.863
K Al W
1 2 1
direct
0.500 0.500 0.500
0.000 0.000 0.000
0.750 0.750 0.750
0.250 0.250 0.250
```

***

The following is a DFT calculation (SCAN) of a PBEsol-optimized structure of KAl2W.

Properties
Spin magnetization: 0.0 μB/f.u.
Space group: Cm
Total DFT energy (no corrections): -1.676 Ry per atom

Cell and atoms, written as POSCAR:
```
KAl2W
1.0
-1.788 -2.220 -0.612
0.990 -2.628 -0.785
-0.022 -4.248 9.655
K Al W
1 2 1
direct
0.488 0.488 0.500
0.007 0.007 0.004
0.728 0.728 0.785
0.278 0.278 0.211
```

***

The following is a DFT calculation (SCAN) of a PBEsol-optimized structure of KAl2W.

Properties
Spin magnetization: 1.7 μB/f.u.
Space group: Immm
Total DFT energy (no corrections): -1.648 Ry per atom

Cell and atoms, written as POSCAR:
```
KAl2W
1.0
-2.352 -1.144 0.425
2.081 -2.297 5.336
-1.639 6.372 -0.186
K Al W
1 2 1
direct
0.000 0.500 0.000
0.795 0.795 0.590
0.205 0.205 0.410
0.500 0.000 0.000
```

***

The following is a DFT calculation (SCAN) of a PBEsol-optimized structure of KAl2W.

Properties
Spin magnetization: 0.0 μB/f.u.
Space group: P4/mmm
Total DFT energy (no corrections): -1.660 Ry per atom

Cell and atoms, written as POSCAR:
```
KAl2W
1.0
-1.313 -2.235 -1.040
4.057 -2.885 1.079
-1.938 -1.003 4.602
K Al W
1 2 1
direct
0.500 0.500 0.500
0.000 0.000 0.500
0.000 0.500 0.000
0.500 0.000 0.000
```

***

The following is a DFT calculation (SCAN) of a PBEsol-optimized structure of K2YAl.

Properties
Spin magnetization: 0.9 μB/f.u.
Space group: Pmmm
Total DFT energy (no corrections): -0.922 Ry per atom

Cell and atoms, written as POSCAR:
```
K2YAl
1.0
-2.405 -0.886 2.215
4.370 -2.332 3.813
0.561 5.912 2.973
Y K Al
1 2 1
direct
0.500 0.500 0.000
0.000 0.000 0.735
0.000 0.000 0.265
0.500 0.500 0.500
```

***

The following is a DFT calculation (SCAN) of a PBEsol-optimized structure of KYAl3.

Properties
Spin magnetization: 2.2 μB/f.u.
Space group: Pm-3m
Total DFT energy (no corrections): -0.819 Ry per atom

Cell and atoms, written as POSCAR:
```
KYAl3
1.0
-4.200 -3.296 1.775
3.737 -3.843 1.707
0.213 2.453 5.059
Y K Al
1 1 3
direct
0.000 0.000 0.000
0.500 0.500 0.500
0.000 0.500 0.000
0.000 0.000 0.500
0.500 0.000 0.000
```

***

The following is a DFT calculation (SCAN) of a PBEsol-optimized structure of K2AlZn.

Properties
Spin magnetization: 0.6 μB/f.u.
Space group: I-4m2
Total DFT energy (no corrections): -0.672 Ry per atom

Cell and atoms, written as POSCAR:
```
K2AlZn
1.0
-1.859 -3.557 -3.598
-1.835 -0.112 5.096
-5.048 1.559 1.067
Zn K Al
1 2 1
direct
0.500 0.000 0.500
0.000 0.000 0.000
0.250 0.500 0.250
0.750 0.500 0.750
```

***

The following is a DFT calculation (SCAN) of a PBEsol-optimized structure of K2Al2Zn.

Properties
Spin magnetization: 0.0 μB/f.u.
Space group: P4/mbm
Total DFT energy (no corrections): -0.654 Ry per atom

Cell and atoms, written as POSCAR:
```
K2Al2Zn
1.0
5.883 0.000 0.000
0.000 6.807 0.000
0.000 0.000 6.807
Zn K Al
2 4 4
direct
0.000 0.000 0.000
0.000 0.500 0.500
0.500 0.182 0.682
0.500 0.682 0.818
0.500 0.818 0.318
0.500 0.318 0.182
0.000 0.362 0.862
0.000 0.862 0.638
0.000 0.638 0.138
0.000 0.138 0.362
```

***

The following is a DFT calculation (SCAN) of a PBEsol-optimized structure of KAlZn.

Properties
Spin magnetization: 0.0 μB/f.u.
Space group: F-43m
Total DFT energy (no corrections): -0.655 Ry per atom

Cell and atoms, written as POSCAR:
```
KAlZn
1.0
-3.366 3.774 -1.218
-5.068 -1.081 -0.451
-3.359 1.741 3.570
Zn K Al
1 1 1
direct
0.000 0.000 0.000
0.750 0.750 0.750
0.500 0.500 0.500
```

***

The following is a DFT calculation (SCAN) of a PBEsol-optimized structure of KZrAl3.

Properties
Spin magnetization: 0.0 μB/f.u.
Space group: Pm-3m
Total DFT energy (no corrections): -0.792 Ry per atom

Cell and atoms, written as POSCAR:
```
KZrAl3
1.0
-0.563 3.883 -2.967
-1.215 -3.004 -3.701
-4.733 0.309 1.303
K Al Zr
1 3 1
direct
0.000 0.000 0.000
0.000 0.500 0.000
0.000 0.000 0.500
0.500 0.000 0.000
0.500 0.500 0.500
```

***

The following is a DFT calculation (SCAN) of a PBEsol-optimized structure of KZr2Al.

Properties
Spin magnetization: 0.0 μB/f.u.
Space group: P4mm
Total DFT energy (no corrections): -1.408 Ry per atom

Cell and atoms, written as POSCAR:
```
KZr2Al
1.0
3.041 0.000 0.000
0.000 3.041 0.000
0.000 0.000 10.705
K Al Zr
1 1 2
direct
0.500 0.500 0.724
0.000 0.000 0.464
0.000 0.000 0.051
0.500 0.500 0.261
```

***

The following is a DFT calculation (SCAN) of a PBEsol-optimized structure of KZr2Al.

Properties
Spin magnetization: 0.0 μB/f.u.
Space group: Cmmm
Total DFT energy (no corrections): -1.372 Ry per atom

Cell and atoms, written as POSCAR:
```
KZr2Al
1.0
-0.247 -0.806 2.726
5.959 -0.142 0.497
-2.564 5.241 1.317
K Al Zr
1 1 2
direct
0.500 0.500 0.500
0.500 0.000 0.000
0.000 0.500 0.000
0.000 0.000 0.500
```

***

The following is a DFT calculation (SCAN) of a PBEsol-optimized structure of KZr2Al.

Properties
Spin magnetization: 0.0 μB/f.u.
Space group: R-3m
Total DFT energy (no corrections): -1.397 Ry per atom

Cell and atoms, written as POSCAR:
```
KZr2Al
1.0
-0.647 -2.998 -0.113
1.601 -1.846 -1.857
8.012 -3.601 7.952
K Al Zr
1 1 2
direct
0.000 0.000 0.000
0.500 0.500 0.500
0.236 0.236 0.293
0.764 0.764 0.707
```

***

The following is a DFT calculation (SCAN) of a PBEsol-optimized structure of KZrAl.

Properties
Spin magnetization: 0.0 μB/f.u.
Space group: F-43m
Total DFT energy (no corrections): -1.066 Ry per atom

Cell and atoms, written as POSCAR:
```
KZrAl
1.0
-4.230 -2.493 -0.462
-0.428 -4.512 1.945
-2.878 -0.725 3.938
K Al Zr
1 1 1
direct
0.500 0.500 0.500
0.000 0.000 0.000
0.250 0.250 0.250
```

***

The following is a DFT calculation (SCAN) of a PBEsol-optimized structure of KZr2Al.

Properties
Spin magnetization: 2.5 μB/f.u.
Space group: F-43m
Total DFT energy (no corrections): -1.372 Ry per atom

Cell and atoms, written as POSCAR:
```
KZr2Al
1.0
-2.730 3.584 2.435
0.201 0.343 5.106
2.372 3.965 2.209
K Al Zr
1 1 2
direct
0.250 0.250 0.250
0.500 0.500 0.500
0.000 0.000 0.000
0.750 0.750 0.750
```

***

The following is a DFT calculation (SCAN) of a PBEsol-optimized structure of KZr2Al.

Properties
Spin magnetization: 0.0 μB/f.u.
Space group: P4/mmm
Total DFT energy (no corrections): -1.410 Ry per atom

Cell and atoms, written as POSCAR:
```
KZr2Al
1.0
-2.975 -0.010 0.644
-0.158 -2.938 -0.779
2.207 -2.809 10.149
K Al Zr
1 1 2
direct
0.500 0.500 0.500
0.500 0.500 0.000
0.000 0.000 0.819
0.000 0.000 0.181
```

***

The following is a DFT calculation (SCAN) of a PBEsol-optimized structure of KZrAl4.

Properties
Spin magnetization: 0.0 μB/f.u.
Space group: F-43m
Total DFT energy (no corrections): -0.856 Ry per atom

Cell and atoms, written as POSCAR:
```
KZrAl4
1.0
-5.406 0.835 0.565
-2.591 -1.734 4.530
-1.849 3.648 3.676
K Al Zr
1 4 1
direct
0.750 0.750 0.750
0.877 0.374 0.374
0.374 0.374 0.374
0.374 0.374 0.877
0.374 0.877 0.374
0.000 0.000 0.000
```

***

The following is a DFT calculation (SCAN) of a PBEsol-optimized structure of La2Al3.

Properties
Spin magnetization: 0.0 μB/f.u.
Space group: R-3m
Total DFT energy (no corrections): -1.633 Ry per atom

Cell and atoms, written as POSCAR:
```
La2Al3
1.0
4.445 0.000 0.000
2.223 3.850 0.000
2.223 1.283 7.944
Al La
3 2
direct
0.000 0.000 0.000
0.160 0.160 0.521
0.840 0.840 0.479
0.588 0.588 0.237
0.412 0.412 0.763
```

***

The following is a DFT calculation (SCAN) of a PBEsol-optimized structure of LaAl.

Properties
Spin magnetization: 0.2 μB/f.u.
Space group: Cmcm
Total DFT energy (no corrections): -1.899 Ry per atom

Cell and atoms, written as POSCAR:
```
LaAl
1.0
4.300 0.000 0.000
0.000 4.480 0.000
0.000 2.240 5.836
Al La
2 2
direct
0.750 0.564 0.871
0.250 0.436 0.129
0.750 0.853 0.294
0.250 0.147 0.706
```

***

The following is a DFT calculation (SCAN) of a PBEsol-optimized structure of LaAl4.

Properties
Spin magnetization: 0.0 μB/f.u.
Space group: I4/mmm
Total DFT energy (no corrections): -1.118 Ry per atom

Cell and atoms, written as POSCAR:
```
LaAl4
1.0
4.276 0.000 0.000
0.000 4.276 0.000
-2.138 -2.138 5.664
Al La
4 1
direct
0.250 0.750 0.500
0.750 0.250 0.500
0.388 0.388 0.775
0.612 0.612 0.225
0.000 0.000 0.000
```

***

The following is a DFT calculation (SCAN) of a PBEsol-optimized structure of La5Al.

Properties
Spin magnetization: 0.0 μB/f.u.
Space group: P-62m
Total DFT energy (no corrections): -2.742 Ry per atom

Cell and atoms, written as POSCAR:
```
La5Al
1.0
5.663 0.000 0.000
0.000 6.075 0.000
0.000 -3.038 5.261
Al La
1 5
direct
0.500 0.000 0.000
0.000 0.305 0.305
0.000 0.695 0.000
0.000 0.000 0.695
0.500 0.333 0.667
0.500 0.667 0.333
```

***

The following is a DFT calculation (SCAN) of a PBEsol-optimized structure of La5Al.

Properties
Spin magnetization: 0.0 μB/f.u.
Space group: P6/mmm
Total DFT energy (no corrections): -2.703 Ry per atom

Cell and atoms, written as POSCAR:
```
La5Al
1.0
5.795 0.000 0.000
0.000 6.224 0.000
0.000 -3.112 5.390
Al La
1 5
direct
0.000 0.000 0.000
0.000 0.667 0.333
0.000 0.333 0.667
0.500 0.500 0.500
0.500 0.000 0.500
0.500 0.500 0.000
```

***

The following is a DFT calculation (SCAN) of a PBEsol-optimized structure of La17Al12.

Properties
Spin magnetization: 0.0 μB/f.u.
Space group: I-43m
Total DFT energy (no corrections): -2.119 Ry per atom

Cell and atoms, written as POSCAR:
```
La17Al12
1.0
-5.913 -7.720 -1.811
4.897 2.410 -8.250
6.466 -2.392 7.093
Al La
12 17
direct
0.178 0.356 0.356
0.822 0.178 0.178
0.000 0.822 0.644
0.000 0.644 0.822
0.356 0.178 0.356
0.178 0.822 0.178
0.644 0.000 0.822
0.822 0.000 0.644
0.356 0.356 0.178
0.178 0.178 0.822
0.822 0.644 0.000
0.644 0.822 0.000
0.719 0.415 0.415
0.281 0.696 0.696
0.000 0.304 0.585
0.000 0.585 0.304
0.415 0.719 0.415
0.696 0.281 0.696
0.585 0.000 0.304
0.304 0.000 0.585
0.415 0.415 0.719
0.696 0.696 0.281
0.304 0.585 0.000
0.585 0.304 0.000
0.645 0.645 0.645
0.355 0.000 0.000
0.000 0.000 0.355
0.000 0.355 0.000
0.000 0.000 0.000
```

***

The following is a DFT calculation (SCAN) of a PBEsol-optimized structure of LaAl.

Properties
Spin magnetization: 0.0 μB/f.u.
Space group: Cm
Total DFT energy (no corrections): -1.894 Ry per atom

Cell and atoms, written as POSCAR:
```
LaAl
1.0
4.046 0.000 0.000
-2.023 5.710 -0.030
0.000 -2.335 6.575
Al La
3 3
direct
0.278 0.556 0.596
0.643 0.286 0.329
0.673 0.345 0.740
0.988 0.975 0.930
0.968 0.936 0.471
0.284 0.568 0.101
```

***

The following is a DFT calculation (SCAN) of a PBEsol-optimized structure of La5Al.

Properties
Spin magnetization: 0.0 μB/f.u.
Space group: Cm
Total DFT energy (no corrections): -2.745 Ry per atom

Cell and atoms, written as POSCAR:
```
La5Al
1.0
3.786 0.000 0.000
-1.893 6.436 0.000
0.000 -2.674 8.277
Al La
1 5
direct
0.003 0.007 0.011
0.672 0.345 0.330
0.349 0.698 0.720
0.399 0.799 0.228
0.051 0.101 0.599
0.692 0.384 0.944
```